Here is a relaxed LiAc4Co3O12 crystal from Alexandria via LeMat-Bulk. Energies are from PBE with a Hubbard U.

Geometry as POSCAR:
```
LiAc4Co3O12
1.0
-6.184 -2.842 -0.636
3.542 -3.307 4.821
-0.681 6.566 1.774
Co O Ac Li
3 12 4 1
Direct
0.500 0.000 0.500
0.000 0.500 0.500
0.500 0.500 0.000
0.750 0.250 0.500
0.263 0.000 0.263
0.500 0.250 0.750
0.500 0.750 0.250
0.250 0.750 0.500
0.000 0.737 0.737
0.263 0.263 0.000
0.737 0.000 0.737
0.737 0.737 0.000
0.000 0.263 0.263
0.750 0.500 0.250
0.250 0.500 0.750
0.500 0.500 0.500
0.500 0.000 0.000
0.000 0.500 0.000
0.000 0.000 0.500
0.000 0.000 0.000
```

Calculated values
Symmetry: Im-3m
Final energy: -137.848 eV per cell